# 1
An optimized crystal structure of BaNaCa5. Source: Alexandria, functional PBE-GGA.

Calculated values
* symmetry: P4/mmm

a b c (Å): 5.200 5.200 12.494
angles (deg): 90.00 90.00 90.00
Positions (direct):
Ba  0.000  0.000  0.000
Na  0.500  0.500  0.500
Ca  0.000  0.000  0.500
Ca  0.000  0.500  0.268
Ca  0.000  0.500  0.732
Ca  0.500  0.000  0.268
Ca  0.500  0.000  0.732

# 2
An optimized crystal structure of Ba6Na3Ca. Source: Alexandria, functional PBE-GGA.

Calculated values
* symmetry: P2_1/m

a b c (Å): 11.723 6.729 14.297
angles (deg): 90.00 105.16 90.00
Positions (direct):
Ba  0.039  0.250  0.402
Ba  0.135  0.750  0.195
Ba  0.248  0.250  0.990
Ba  0.338  0.750  0.801
Ba  0.351  0.250  0.293
Ba  0.437  0.250  0.600
Ba  0.563  0.750  0.400
Ba  0.649  0.750  0.707
Ba  0.662  0.250  0.199
Ba  0.752  0.750  0.010
Ba  0.865  0.250  0.805
Ba  0.961  0.750  0.598
Na  0.043  0.750  0.899
Na  0.153  0.250  0.700
Na  0.263  0.750  0.489
Na  0.737  0.250  0.511
Na  0.847  0.750  0.300
Na  0.957  0.250  0.101
Ca  0.447  0.750  0.105
Ca  0.553  0.250  0.895

# 3
An optimized crystal structure of Ba2Na2Ca3. Source: Alexandria, functional PBE-GGA.

Calculated values
* symmetry: Cmmm

a b c (Å): 14.142 14.142 4.139
angles (deg): 90.00 90.00 156.75
Positions (direct):
Ba  0.149  0.851  0.000
Ba  0.851  0.149  0.000
Na  0.285  0.715  0.500
Na  0.715  0.285  0.500
Ca  0.000  0.000  0.000
Ca  0.432  0.568  0.500
Ca  0.568  0.432  0.500

# 4
An optimized crystal structure of BaNaCa. Source: Alexandria, functional PBE-GGA.

Calculated values
* relative energy among the computed polymorphs: 35 meV per atom
* symmetry: I4mm

a b c (Å): 7.997 7.997 7.997
angles (deg): 147.85 147.85 46.11
Positions (direct):
Ba  0.000  0.000  0.000
Na  0.674  0.674  0.000
Ca  0.308  0.308  0.000

# 5
An optimized crystal structure of Ba5Na4Ca. Source: Alexandria, functional PBE-GGA.

Calculated values
* symmetry: P4/mmm

a b c (Å): 4.734 4.734 23.245
angles (deg): 90.00 90.00 90.00
Positions (direct):
Ba  0.000  0.000  0.000
Ba  0.000  0.000  0.198
Ba  0.000  0.000  0.398
Ba  0.000  0.000  0.602
Ba  0.000  0.000  0.802
Na  0.500  0.500  0.099
Na  0.500  0.500  0.300
Na  0.500  0.500  0.700
Na  0.500  0.500  0.901
Ca  0.500  0.500  0.500

# 6
An optimized crystal structure of Ba3Na8Ca2. Source: Alexandria, functional PBE-GGA.

Calculated values
* symmetry: R-3m

a b c (Å): 15.503 15.503 15.503
angles (deg): 25.75 25.75 25.75
Positions (direct):
Ba  0.000  0.000  0.000
Ba  0.236  0.236  0.236
Ba  0.764  0.764  0.764
Na  0.190  0.701  0.701
Na  0.299  0.299  0.810
Na  0.299  0.810  0.299
Na  0.317  0.317  0.317
Na  0.683  0.683  0.683
Na  0.701  0.190  0.701
Na  0.701  0.701  0.190
Na  0.810  0.299  0.299
Ca  0.394  0.394  0.394
Ca  0.606  0.606  0.606

# 7
An optimized crystal structure of Ba6NaCa3. Source: Alexandria, functional PBE-GGA.

Calculated values
* relative energy among the computed polymorphs: 110 meV per atom
* symmetry: P2_1/c

a b c (Å): 7.346 12.485 14.427
angles (deg): 90.00 119.14 90.00
Positions (direct):
Ba  0.010  0.163  0.061
Ba  0.010  0.337  0.561
Ba  0.338  0.670  0.240
Ba  0.338  0.830  0.740
Ba  0.387  0.167  0.453
Ba  0.387  0.333  0.953
Ba  0.613  0.667  0.047
Ba  0.613  0.833  0.547
Ba  0.662  0.170  0.260
Ba  0.662  0.330  0.760
Ba  0.990  0.663  0.439
Ba  0.990  0.837  0.939
Na  0.000  0.000  0.500
Na  0.000  0.500  0.000
Ca  0.007  0.584  0.751
Ca  0.007  0.916  0.251
Ca  0.500  0.000  0.000
Ca  0.500  0.500  0.500
Ca  0.993  0.084  0.749
Ca  0.993  0.416  0.249

# 8
An optimized crystal structure of Ba8Na3Ca2. Source: Alexandria, functional PBE-GGA.

Calculated values
* symmetry: Cmmm

a b c (Å): 12.535 12.535 6.998
angles (deg): 90.00 90.00 137.20
Positions (direct):
Ba  0.131  0.869  0.000
Ba  0.171  0.382  0.500
Ba  0.325  0.675  0.000
Ba  0.382  0.171  0.500
Ba  0.618  0.829  0.500
Ba  0.675  0.325  0.000
Ba  0.829  0.618  0.500
Ba  0.869  0.131  0.000
Na  0.000  0.000  0.500
Na  0.308  0.308  0.000
Na  0.692  0.692  0.000
Ca  0.240  0.760  0.500
Ca  0.760  0.240  0.500

# 9
An optimized crystal structure of Ba3Na8Ca. Source: Alexandria, functional PBE-GGA.

Calculated values
* relative energy among the computed polymorphs: 0 meV per atom
* symmetry: P3m1

a b c (Å): 7.197 7.197 11.675
angles (deg): 90.00 90.00 120.00
Positions (direct):
Ba  0.000  0.000  0.000
Ba  0.000  0.000  0.383
Ba  0.333  0.667  0.869
Na  0.009  0.504  0.194
Na  0.329  0.165  0.684
Na  0.496  0.504  0.194
Na  0.496  0.991  0.194
Na  0.667  0.333  0.441
Na  0.667  0.333  0.940
Na  0.835  0.165  0.684
Na  0.835  0.671  0.684
Ca  0.333  0.667  0.502

# 10
An optimized crystal structure of Ba6NaCa3. Source: Alexandria, functional PBE-GGA.

Calculated values
* relative energy among the computed polymorphs: 0 meV per atom
* symmetry: P2_1/m

a b c (Å): 11.675 6.775 14.332
angles (deg): 90.00 105.91 90.00
Positions (direct):
Ba  0.042  0.250  0.403
Ba  0.145  0.750  0.190
Ba  0.253  0.250  0.994
Ba  0.345  0.750  0.802
Ba  0.346  0.250  0.304
Ba  0.441  0.250  0.606
Ba  0.559  0.750  0.394
Ba  0.654  0.750  0.696
Ba  0.655  0.250  0.198
Ba  0.747  0.750  0.006
Ba  0.855  0.250  0.810
Ba  0.958  0.750  0.597
Na  0.444  0.750  0.107
Na  0.556  0.250  0.893
Ca  0.041  0.750  0.893
Ca  0.137  0.250  0.698
Ca  0.252  0.750  0.492
Ca  0.748  0.250  0.508
Ca  0.863  0.750  0.302
Ca  0.959  0.250  0.107

# 11
An optimized crystal structure of Ba2Na4Ca. Source: Alexandria, functional PBE-GGA.

Calculated values
* symmetry: R-3m

a b c (Å): 9.877 9.877 9.877
angles (deg): 37.92 37.92 37.92
Positions (direct):
Ba  0.220  0.220  0.220
Ba  0.780  0.780  0.780
Na  0.067  0.067  0.067
Na  0.364  0.364  0.364
Na  0.636  0.636  0.636
Na  0.933  0.933  0.933
Ca  0.500  0.500  0.500

# 12
An optimized crystal structure of Ba14NaCa. Source: Alexandria, functional PBE-GGA.

Calculated values
* symmetry: P4/mmm

a b c (Å): 8.861 8.861 12.530
angles (deg): 90.00 90.00 90.00
Positions (direct):
Ba  0.000  0.000  0.000
Ba  0.000  0.500  0.000
Ba  0.000  0.500  0.500
Ba  0.249  0.249  0.260
Ba  0.249  0.249  0.740
Ba  0.249  0.751  0.260
Ba  0.249  0.751  0.740
Ba  0.500  0.000  0.000
Ba  0.500  0.000  0.500
Ba  0.500  0.500  0.000
Ba  0.751  0.249  0.260
Ba  0.751  0.249  0.740
Ba  0.751  0.751  0.260
Ba  0.751  0.751  0.740
Na  0.500  0.500  0.500
Ca  0.000  0.000  0.500

| no. | total energy (eV per atom) | volume (Å³/cell) | calculated formation energy (kcal/mol of atoms) |
| --- | --- | --- | --- |
| 1 | -1.7199 | 338 | 3.99 |
| 2 | -1.7195 | 1088 | 0.69 |
| 3 | -1.7562 | 327 | 0.64 |
| 4 | -1.7031 | 144 | 1.03 |
| 5 | -1.6712 | 521 | 0.41 |
| 6 | -1.4003 | 619 | 3.76 |
| 7 | -1.7428 | 1156 | 3.30 |
| 8 | -1.6563 | 747 | 3.21 |
| 9 | -1.5226 | 524 | 0.10 |
| 10 | -1.8529 | 1090 | 0.76 |
| 11 | -1.5371 | 327 | 1.20 |
| 12 | -1.8573 | 984 | 0.75 |